Entry 1:
# La2PI2 | Alexandria | meta-GGA SCAN | single point on PBEsol structure
data_La2PI2
_chemical_formula_sum 'La2 P1 I2'
_space_group_name_H-M_alt 'P 1'
_space_group_IT_number 1
_cell_length_a 4.2710
_cell_length_b 4.2710
_cell_length_c 10.9533
_cell_angle_alpha 90.00
_cell_angle_beta 90.00
_cell_angle_gamma 120.00
loop_
_space_group_symop_operation_xyz
'x,y,z'
loop_
_atom_site_label
_atom_site_type_symbol
_atom_site_fract_x
_atom_site_fract_y
_atom_site_fract_z
La1 La 0.3333 0.6667 0.3537
La2 La 0.6667 0.3333 0.6463
P1 P 0.0000 0.0000 0.5000
I1 I 0.3333 0.6667 0.8388
I2 I 0.6667 0.3333 0.1612
# Uncorrected formation energy (eV/atom): -1.780
# Total magnetization (Bohr magnetons per cell): 0.0
# Energy (eV/atom): -35.799
# Crystal system: trigonal

Entry 2:
# LaPS2I | Alexandria | meta-GGA SCAN | single point on PBEsol structure
data_LaPS2I
_chemical_formula_sum 'La1 P1 S2 I1'
_space_group_name_H-M_alt 'P 1'
_space_group_IT_number 1
_cell_length_a 5.0252
_cell_length_b 5.0252
_cell_length_c 5.0193
_cell_angle_alpha 90.00
_cell_angle_beta 90.00
_cell_angle_gamma 90.00
loop_
_space_group_symop_operation_xyz
'x,y,z'
loop_
_atom_site_label
_atom_site_type_symbol
_atom_site_fract_x
_atom_site_fract_y
_atom_site_fract_z
La1 La 0.0000 0.0000 0.0000
P1 P 0.5000 0.5000 0.0000
S1 S 0.0000 0.5000 0.5000
S2 S 0.5000 0.0000 0.5000
I1 I 0.5000 0.5000 0.5000
# Uncorrected formation energy (eV/atom): -0.128
# Total magnetization (Bohr magnetons per cell): 0.0
# Energy (eV/atom): -22.029
# Crystal system: tetragonal

Entry 3:
# LaSi2PI | Alexandria | meta-GGA SCAN | single point on PBEsol structure
data_LaSi2PI
_chemical_formula_sum 'La1 Si2 P1 I1'
_space_group_name_H-M_alt 'P 1'
_space_group_IT_number 1
_cell_length_a 5.0898
_cell_length_b 5.0898
_cell_length_c 5.1863
_cell_angle_alpha 90.00
_cell_angle_beta 90.00
_cell_angle_gamma 90.00
loop_
_space_group_symop_operation_xyz
'x,y,z'
loop_
_atom_site_label
_atom_site_type_symbol
_atom_site_fract_x
_atom_site_fract_y
_atom_site_fract_z
La1 La 0.0000 0.0000 0.0000
Si1 Si 0.0000 0.5000 0.5000
Si2 Si 0.5000 0.0000 0.5000
P1 P 0.5000 0.5000 0.0000
I1 I 0.5000 0.5000 0.5000
# Uncorrected formation energy (eV/atom): 0.867
# Total magnetization (Bohr magnetons per cell): 0.0
# Energy (eV/atom): -21.188
# Crystal system: tetragonal

Entry 4:
# La2Pb2I | Alexandria | meta-GGA SCAN | single point on PBEsol structure
data_La2Pb2I
_chemical_formula_sum 'La4 Pb4 I2'
_space_group_name_H-M_alt 'P 1'
_space_group_IT_number 1
_cell_length_a 8.6621
_cell_length_b 8.6621
_cell_length_c 4.4053
_cell_angle_alpha 90.00
_cell_angle_beta 90.00
_cell_angle_gamma 90.00
loop_
_space_group_symop_operation_xyz
'x,y,z'
loop_
_atom_site_label
_atom_site_type_symbol
_atom_site_fract_x
_atom_site_fract_y
_atom_site_fract_z
La1 La 0.1775 0.3225 0.0000
La2 La 0.3225 0.8225 0.0000
La3 La 0.6775 0.1775 0.0000
La4 La 0.8225 0.6775 0.0000
Pb1 Pb 0.1204 0.6204 0.5000
Pb2 Pb 0.3796 0.1204 0.5000
Pb3 Pb 0.6204 0.8796 0.5000
Pb4 Pb 0.8796 0.3796 0.5000
I1 I 0.0000 0.0000 0.0000
I2 I 0.5000 0.5000 0.0000
# Uncorrected formation energy (eV/atom): -1.003
# Total magnetization (Bohr magnetons per cell): 0.0
# Energy (eV/atom): -55.905
# Crystal system: tetragonal

Entry 5:
# LaPb3I | Alexandria | meta-GGA SCAN | single point on PBEsol structure
data_LaPb3I
_chemical_formula_sum 'La1 Pb3 I1'
_space_group_name_H-M_alt 'P 1'
_space_group_IT_number 1
_cell_length_a 6.0663
_cell_length_b 6.0663
_cell_length_c 6.0663
_cell_angle_alpha 90.00
_cell_angle_beta 90.00
_cell_angle_gamma 90.00
loop_
_space_group_symop_operation_xyz
'x,y,z'
loop_
_atom_site_label
_atom_site_type_symbol
_atom_site_fract_x
_atom_site_fract_y
_atom_site_fract_z
La1 La 0.0000 0.0000 0.0000
Pb1 Pb 0.0000 0.0000 0.5000
Pb2 Pb 0.0000 0.5000 0.0000
Pb3 Pb 0.5000 0.0000 0.0000
I1 I 0.5000 0.5000 0.5000
# Uncorrected formation energy (eV/atom): 0.456
# Total magnetization (Bohr magnetons per cell): 1.7
# Energy (eV/atom): -60.982
# Crystal system: cubic

Entry 6:
# La2TePbI | Alexandria | meta-GGA SCAN | single point on PBEsol structure
data_La2TePbI
_chemical_formula_sum 'La2 Te1 Pb1 I1'
_space_group_name_H-M_alt 'P 1'
_space_group_IT_number 1
_cell_length_a 6.0277
_cell_length_b 6.0277
_cell_length_c 5.7028
_cell_angle_alpha 90.00
_cell_angle_beta 90.00
_cell_angle_gamma 90.00
loop_
_space_group_symop_operation_xyz
'x,y,z'
loop_
_atom_site_label
_atom_site_type_symbol
_atom_site_fract_x
_atom_site_fract_y
_atom_site_fract_z
La1 La 0.0000 0.5000 0.0000
La2 La 0.5000 0.0000 0.0000
Te1 Te 0.0000 0.0000 0.0000
Pb1 Pb 0.5000 0.5000 0.5000
I1 I 0.0000 0.0000 0.5000
# Uncorrected formation energy (eV/atom): -0.213
# Total magnetization (Bohr magnetons per cell): 0.0
# Energy (eV/atom): -47.410
# Crystal system: tetragonal

Entry 7:
# LaTiPb2I | Alexandria | meta-GGA SCAN | single point on PBEsol structure
data_LaTiPb2I
_chemical_formula_sum 'La1 Ti1 Pb2 I1'
_space_group_name_H-M_alt 'P 1'
_space_group_IT_number 1
_cell_length_a 5.9089
_cell_length_b 5.9089
_cell_length_c 4.9379
_cell_angle_alpha 90.00
_cell_angle_beta 90.00
_cell_angle_gamma 90.00
loop_
_space_group_symop_operation_xyz
'x,y,z'
loop_
_atom_site_label
_atom_site_type_symbol
_atom_site_fract_x
_atom_site_fract_y
_atom_site_fract_z
La1 La 0.0000 0.0000 0.0000
Ti1 Ti 0.5000 0.5000 0.0000
Pb1 Pb 0.0000 0.5000 0.5000
Pb2 Pb 0.5000 0.0000 0.5000
I1 I 0.5000 0.5000 0.5000
# Uncorrected formation energy (eV/atom): 0.445
# Total magnetization (Bohr magnetons per cell): 1.8
# Energy (eV/atom): -49.043
# Crystal system: tetragonal

Entry 8:
# LaPd3I | Alexandria | meta-GGA SCAN | single point on PBEsol structure
data_LaPd3I
_chemical_formula_sum 'La1 Pd3 I1'
_space_group_name_H-M_alt 'P 1'
_space_group_IT_number 1
_cell_length_a 4.9508
_cell_length_b 4.9508
_cell_length_c 4.9508
_cell_angle_alpha 90.00
_cell_angle_beta 90.00
_cell_angle_gamma 90.00
loop_
_space_group_symop_operation_xyz
'x,y,z'
loop_
_atom_site_label
_atom_site_type_symbol
_atom_site_fract_x
_atom_site_fract_y
_atom_site_fract_z
La1 La 0.0000 0.0000 0.0000
Pd1 Pd 0.0000 0.5000 0.5000
Pd2 Pd 0.5000 0.0000 0.5000
Pd3 Pd 0.5000 0.5000 0.0000
I1 I 0.5000 0.5000 0.5000
# Uncorrected formation energy (eV/atom): 0.002
# Total magnetization (Bohr magnetons per cell): 0.0
# Energy (eV/atom): -35.631
# Crystal system: cubic

Entry 9:
# La2PtI2 | Alexandria | meta-GGA SCAN | single point on PBEsol structure
data_La2PtI2
_chemical_formula_sum 'La2 Pt1 I2'
_space_group_name_H-M_alt 'P 1'
_space_group_IT_number 1
_cell_length_a 6.0017
_cell_length_b 6.0017
_cell_length_c 6.0017
_cell_angle_alpha 118.83
_cell_angle_beta 118.83
_cell_angle_gamma 92.04
loop_
_space_group_symop_operation_xyz
'x,y,z'
loop_
_atom_site_label
_atom_site_type_symbol
_atom_site_fract_x
_atom_site_fract_y
_atom_site_fract_z
La1 La 0.2500 0.7500 0.5000
La2 La 0.7500 0.2500 0.5000
Pt1 Pt 0.0000 0.0000 0.0000
I1 I 0.3068 0.3068 0.0000
I2 I 0.6932 0.6932 0.0000
# Uncorrected formation energy (eV/atom): -0.586
# Total magnetization (Bohr magnetons per cell): 0.0
# Energy (eV/atom): -46.563
# Crystal system: tetragonal

Entry 10:
# La3PtI | Alexandria | meta-GGA SCAN | single point on PBEsol structure
data_La3PtI
_chemical_formula_sum 'La3 Pt1 I1'
_space_group_name_H-M_alt 'P 1'
_space_group_IT_number 1
_cell_length_a 5.6712
_cell_length_b 5.6712
_cell_length_c 5.6712
_cell_angle_alpha 90.00
_cell_angle_beta 90.00
_cell_angle_gamma 90.00
loop_
_space_group_symop_operation_xyz
'x,y,z'
loop_
_atom_site_label
_atom_site_type_symbol
_atom_site_fract_x
_atom_site_fract_y
_atom_site_fract_z
La1 La 0.0000 0.0000 0.5000
La2 La 0.0000 0.5000 0.0000
La3 La 0.5000 0.0000 0.0000
Pt1 Pt 0.0000 0.0000 0.0000
I1 I 0.5000 0.5000 0.5000
# Uncorrected formation energy (eV/atom): -0.731
# Total magnetization (Bohr magnetons per cell): 0.0
# Energy (eV/atom): -47.981
# Crystal system: cubic

Entry 11:
# LaSb2PtI | Alexandria | meta-GGA SCAN | single point on PBEsol structure
data_LaSb2PtI
_chemical_formula_sum 'La1 Sb2 Pt1 I1'
_space_group_name_H-M_alt 'P 1'
_space_group_IT_number 1
_cell_length_a 6.0066
_cell_length_b 6.0066
_cell_length_c 5.8253
_cell_angle_alpha 90.00
_cell_angle_beta 90.00
_cell_angle_gamma 90.00
loop_
_space_group_symop_operation_xyz
'x,y,z'
loop_
_atom_site_label
_atom_site_type_symbol
_atom_site_fract_x
_atom_site_fract_y
_atom_site_fract_z
La1 La 0.0000 0.0000 0.0000
Sb1 Sb 0.0000 0.5000 0.0000
Sb2 Sb 0.5000 0.0000 0.0000
Pt1 Pt 0.5000 0.5000 0.5000
I1 I 0.0000 0.0000 0.5000
# Uncorrected formation energy (eV/atom): 1.016
# Total magnetization (Bohr magnetons per cell): 1.7
# Energy (eV/atom): -43.897
# Crystal system: tetragonal

Entry 12:
# Rb2LaI5 | Alexandria | meta-GGA SCAN | single point on PBEsol structure
data_Rb2LaI5
_chemical_formula_sum 'Rb8 La4 I20'
_space_group_name_H-M_alt 'P 1'
_space_group_IT_number 1
_cell_length_a 14.4739
_cell_length_b 9.9646
_cell_length_c 9.1815
_cell_angle_alpha 90.00
_cell_angle_beta 90.00
_cell_angle_gamma 90.00
loop_
_space_group_symop_operation_xyz
'x,y,z'
loop_
_atom_site_label
_atom_site_type_symbol
_atom_site_fract_x
_atom_site_fract_y
_atom_site_fract_z
Rb1 Rb 0.1716 0.0070 0.0699
Rb2 Rb 0.1716 0.4930 0.0699
Rb3 Rb 0.3284 0.5070 0.5699
Rb4 Rb 0.3284 0.9930 0.5699
Rb5 Rb 0.6716 0.0070 0.4301
Rb6 Rb 0.6716 0.4930 0.4301
Rb7 Rb 0.8284 0.5070 0.9301
Rb8 Rb 0.8284 0.9930 0.9301
La1 La 0.0066 0.2500 0.5798
La2 La 0.4934 0.7500 0.0798
La3 La 0.5066 0.2500 0.9202
La4 La 0.9934 0.7500 0.4202
I1 I 0.0067 0.2500 0.9303
I2 I 0.0713 0.5476 0.6732
I3 I 0.0713 0.9524 0.6732
I4 I 0.1867 0.2500 0.3822
I5 I 0.2077 0.7500 0.3463
I6 I 0.2923 0.2500 0.8463
I7 I 0.3133 0.7500 0.8822
I8 I 0.4287 0.0476 0.1732
I9 I 0.4287 0.4524 0.1732
I10 I 0.4933 0.7500 0.4303
I11 I 0.5067 0.2500 0.5697
I12 I 0.5713 0.5476 0.8268
I13 I 0.5713 0.9524 0.8268
I14 I 0.6867 0.2500 0.1178
I15 I 0.7077 0.7500 0.1537
I16 I 0.7923 0.2500 0.6537
I17 I 0.8133 0.7500 0.6178
I18 I 0.9287 0.0476 0.3268
I19 I 0.9287 0.4524 0.3268
I20 I 0.9933 0.7500 0.0697
# Uncorrected formation energy (eV/atom): -1.716
# Total magnetization (Bohr magnetons per cell): 0.0
# Energy (eV/atom): -35.252
# Crystal system: orthorhombic

Entry 13:
# RbLaI3 | Alexandria | meta-GGA SCAN | single point on PBEsol structure
data_RbLaI3
_chemical_formula_sum 'Rb1 La1 I3'
_space_group_name_H-M_alt 'P 1'
_space_group_IT_number 1
_cell_length_a 6.2097
_cell_length_b 6.2097
_cell_length_c 6.2097
_cell_angle_alpha 90.00
_cell_angle_beta 90.00
_cell_angle_gamma 90.00
loop_
_space_group_symop_operation_xyz
'x,y,z'
loop_
_atom_site_label
_atom_site_type_symbol
_atom_site_fract_x
_atom_site_fract_y
_atom_site_fract_z
Rb1 Rb 0.0000 0.0000 0.0000
La1 La 0.5000 0.5000 0.5000
I1 I 0.0000 0.5000 0.5000
I2 I 0.5000 0.0000 0.5000
I3 I 0.5000 0.5000 0.0000
# Uncorrected formation energy (eV/atom): -1.427
# Total magnetization (Bohr magnetons per cell): 0.0
# Energy (eV/atom): -36.241
# Crystal system: cubic